Here is a relaxed Nd2HoZn2 crystal from Alexandria via LeMat-Bulk. Energies are from PBE.

N(E_F): 1.241 states/eV per atom
theoretical density: 7.23 g cm⁻³
offset from the most stable computed form: 61 meV/atom
total magnetic moment: 0.00 Bohr magnetons per cell
formation energy: -137 meV per atom

```
data_Nd2HoZn2
_chemical_formula_sum 'Nd4 Ho2 Zn4'
_space_group_name_H-M_alt 'P 1'
_space_group_IT_number 1
_cell_length_a 4.5899
_cell_length_b 4.3750
_cell_length_c 13.5457
_cell_angle_alpha 90.00
_cell_angle_beta 99.36
_cell_angle_gamma 90.00
loop_
_space_group_symop_operation_xyz
'x,y,z'
loop_
_atom_site_label
_atom_site_type_symbol
_atom_site_fract_x
_atom_site_fract_y
_atom_site_fract_z
Nd1 Nd 0.0538 0.2500 0.1112
Nd2 Nd 0.2638 0.7500 0.5290
Nd3 Nd 0.7362 0.2500 0.4710
Nd4 Nd 0.9462 0.7500 0.8888
Ho1 Ho 0.3652 0.2500 0.7301
Ho2 Ho 0.6348 0.7500 0.2699
Zn1 Zn 0.1686 0.2500 0.3327
Zn2 Zn 0.4750 0.2500 0.9492
Zn3 Zn 0.5250 0.7500 0.0508
Zn4 Zn 0.8314 0.7500 0.6673
```